Compound: YBeGa2Ir
Source: Alexandria
Functional: GGA-PBE
Structure: optimized geometry

Output
- VASP energy (eV/cell) = -24.5
- V (Å³/cell) = 121.6
- energy relative to the elements (eV per atom) = 0.1295

The structure in CIF format:
```
data_YBeGa2Ir
_chemical_formula_sum 'Y1 Be1 Ga2 Ir1'
_space_group_name_H-M_alt 'P 4/m m m'
_space_group_IT_number 123
_space_group_name_Hall '-P 4 2'
_cell_length_a 4.7739
_cell_length_b 4.7739
_cell_length_c 5.3359
_cell_angle_alpha 90.00
_cell_angle_beta 90.00
_cell_angle_gamma 90.00
loop_
_atom_site_label
_atom_site_type_symbol
_atom_site_fract_x
_atom_site_fract_y
_atom_site_fract_z
Y1 Y 0.0000 0.0000 0.0000
Be1 Be 0.5000 0.5000 0.0000
Ga1 Ga 0.0000 0.5000 0.5000
Ir1 Ir 0.0000 0.0000 0.5000
```